Density functional theory data (PBE) for a relaxed KRb2Au2 crystal.

Summary:
Relative energy among the computed polymorphs: 9.6 kJ per mole of atoms
Total magnetic moment: 0.00 μB per atom
Crystal system: tetragonal
Symmetry: I4/mmm (139)
E_tot: -2.077 eV/atom

Lattice parameters (Å, degrees): 5.386 5.386 14.562 90.00 90.00 90.00
Element x y z (fractional)
K 0.000 0.000 0.000
K 0.500 0.500 0.500
Rb 0.000 0.500 0.250
Rb 0.000 0.500 0.750
Rb 0.500 0.000 0.250
Rb 0.500 0.000 0.750
Au 0.000 0.000 0.404
Au 0.000 0.000 0.596
Au 0.500 0.500 0.096
Au 0.500 0.500 0.904



Density functional theory data (PBE) for a relaxed Pr12Cu6N crystal.

Summary:
Total magnetic moment: 0.00 μB per atom
Crystal system: trigonal
Symmetry: R-3 (148)
Uncorrected formation energy: -0.0734 eV/atom
E_tot: -4.824 eV/atom

Lattice parameters (Å, degrees): 8.222 8.222 8.222 96.68 96.68 96.68
Element x y z (fractional)
Pr 0.021 0.694 0.925
Pr 0.075 0.979 0.306
Pr 0.192 0.415 0.571
Pr 0.306 0.075 0.979
Pr 0.415 0.571 0.192
Pr 0.429 0.808 0.585
Pr 0.571 0.192 0.415
Pr 0.585 0.429 0.808
Pr 0.694 0.925 0.021
Pr 0.808 0.585 0.429
Pr 0.925 0.021 0.694
Pr 0.979 0.306 0.075
Cu 0.121 0.634 0.305
Cu 0.305 0.121 0.634
Cu 0.366 0.695 0.879
Cu 0.634 0.305 0.121
Cu 0.695 0.879 0.366
Cu 0.879 0.366 0.695
N 0.000 0.000 0.000



Density functional theory data (PBE) for a relaxed CeSmRh2 crystal.

Summary:
Total magnetic moment: 0.01 μB per atom
Crystal system: tetragonal
Symmetry: P4/mmm (123)
E_tot: -7.048 eV/atom

Lattice parameters (Å, degrees): 3.479 3.479 7.047 90.00 90.00 90.00
Element x y z (fractional)
Ce 0.000 0.000 0.000
Sm 0.000 0.000 0.500
Rh 0.500 0.500 0.230
Rh 0.500 0.500 0.770